Compound: BaSi2Tc4
Source: Alexandria via LeMat-Bulk
Functional: PBE
Structure: relaxed

Structure (POSCAR):
```
BaSi2Tc4
1.0
4.206 0.000 0.000
0.000 4.124 -0.909
0.000 -0.423 7.892
Tc Ba Si
4 1 2
Cartesian
0.000 0.973 4.417 Tc
0.000 2.728 2.566 Tc
2.103 3.060 4.074 Tc
2.103 0.641 2.909 Tc
0.000 0.000 0.000 Ba
2.103 1.268 5.754 Si
2.103 2.433 1.229 Si
```

Results
Spin magnetization: 0.0 μB per formula unit
Formation energy (no corrections): -230.9 meV/atom